Density functional theory data (PBE) for crystalline Rb2BaTeSe4 at its relaxed geometry.

Results
Space-group type   Imma
Total energy   -56.90 eV for the cell shown
DOS at the Fermi energy   0.04 states/eV/atom

Geometry as POSCAR:
```
Rb2BaTeSe4
1.0
-4.465 4.806 6.579
4.465 -4.806 6.579
4.465 4.806 -6.579
Rb Ba Te Se
4 2 2 8
direct
0.000 0.000 0.000 Rb
0.500 0.000 0.000 Rb
0.500 0.000 0.500 Rb
0.500 0.500 0.500 Rb
0.000 0.500 0.500 Ba
0.500 0.500 0.000 Ba
0.000 0.000 0.500 Te
0.000 0.500 0.000 Te
0.198 0.748 0.450 Se
0.202 0.252 0.950 Se
0.217 0.226 0.509 Se
0.217 0.708 0.991 Se
0.783 0.292 0.009 Se
0.783 0.774 0.491 Se
0.798 0.748 0.050 Se
0.802 0.252 0.550 Se
```